[1]
This record from the Alexandria database describes a relaxed Mn3CuPd12 crystal. The functional is PBE-GGA.

Results
E_form (eV per atom): -0.180
Space-group type: No. 123
DOS at the Fermi energy (states/eV per cell): 17.98
Total moment (μB/f.u.): 14.04

Cell: 3.922 3.922 15.670 Å, 90.00 90.00 90.00°
Site moments in Bohr magnetons follow the coordinates.
Positions (direct):
Cu: 0.000 0.000 0.000  -0.04
Pd: 0.000 0.500 0.877  -0.14
Pd: 0.000 0.500 0.374  -0.18
Pd: 0.000 0.500 0.626  -0.18
Pd: 0.500 0.000 0.374  -0.18
Pd: 0.500 0.000 0.877  -0.14
Pd: 0.500 0.500 0.000  -0.12
Pd: 0.500 0.500 0.751  -0.18
Pd: 0.000 0.500 0.123  -0.14
Pd: 0.500 0.000 0.123  -0.14
Pd: 0.500 0.000 0.626  -0.18
Pd: 0.500 0.500 0.249  -0.18
Pd: 0.500 0.500 0.500  -0.19
Mn: 0.000 0.000 0.500  -3.91
Mn: 0.000 0.000 0.248  -3.90
Mn: 0.000 0.000 0.752  -3.90


[2]
This record from the Alexandria database describes a relaxed Zn2CrAg crystal. The functional is PBE-GGA.

Results
E_form (eV per atom): 0.201
Space-group type: No. 12
DOS at the Fermi energy (states/eV per cell): 1.94
Total moment (μB/f.u.): 3.68

Cell: 4.696 4.696 4.931 Å, 78.87 78.87 36.68°
Site moments in Bohr magnetons follow the coordinates.
Positions (direct):
Zn: 0.503 0.503 0.490  -0.02
Zn: 0.997 0.997 0.010  -0.02
Cr: 0.250 0.250 0.250  3.40
Ag: 0.750 0.750 0.750  0.03


[3]
This record from the Alexandria database describes a relaxed Tb6NdEr5 crystal. The functional is PBE-GGA.

Results
E_form (eV per atom): 0.019
Space-group type: No. 65
DOS at the Fermi energy (states/eV per cell): 16.23
Total moment (μB/f.u.): 0.00

Cell: 5.010 7.932 10.041 Å, 90.00 90.00 71.59°
Positions (direct):
Tb: 0.167 0.666 0.748
Tb: 0.500 0.000 0.252
Tb: 0.833 0.334 0.252
Tb: 0.500 0.000 0.748
Tb: 0.167 0.666 0.252
Tb: 0.833 0.334 0.748
Er: 0.000 0.000 0.500
Er: 0.667 0.667 0.500
Er: 0.332 0.336 0.000
Er: 0.668 0.664 0.000
Er: 0.333 0.333 0.500
Nd: 0.000 0.000 0.000


[4]
This record from the Alexandria database describes a relaxed ScVGe2Bi crystal. The functional is PBE-GGA.

Results
E_form (eV per atom): 1.133
Space-group type: No. 123
DOS at the Fermi energy (states/eV per cell): 4.11
Total moment (μB/f.u.): 3.09

Cell: 5.436 5.067 5.436 Å, 90.00 90.00 90.00°
Site moments in Bohr magnetons follow the coordinates.
Positions (direct):
V: 0.000 0.500 0.000  2.58
Ge: 0.500 0.000 0.000  -0.09
Ge: 0.000 0.000 0.500  -0.07
Bi: 0.000 0.000 0.000  -0.07
Sc: 0.500 0.500 0.500  0.15


[5]
This record from the Alexandria database describes a relaxed Na2TaCr2Te6 crystal. The functional is PBE-GGA.

Results
Uncorrected formation energy (meV/atom): -388.6
Space-group type: No. 12
DOS at the Fermi energy (states/eV per cell): 6.32
Total moment (μB/f.u.): 7.02

Cell: 6.940 6.940 7.995 Å, 98.28 98.28 119.64°
Site moments in Bohr magnetons follow the coordinates.
Positions (direct):
Na: 0.164 0.836 0.000  0.00
Na: 0.836 0.164 0.000  0.00
Ta: 0.000 0.000 0.500  0.69
Te: 0.727 0.727 0.703  -0.09
Te: 0.932 0.594 0.296  -0.11
Te: 0.273 0.273 0.297  -0.09
Te: 0.594 0.932 0.296  -0.11
Te: 0.406 0.068 0.704  -0.11
Te: 0.068 0.406 0.704  -0.11
Cr: 0.332 0.668 0.500  3.16
Cr: 0.668 0.332 0.500  3.16


[6]
This record from the Alexandria database describes a relaxed CoAg2Cl crystal. The functional is PBE-GGA.

Results
Uncorrected formation energy (meV/atom): 322.2
Space-group type: No. 71
DOS at the Fermi energy (states/eV per cell): 4.45
Total moment (μB/f.u.): 1.66

Cell: 6.996 6.996 6.996 Å, 155.88 148.59 39.99°
Site moments in Bohr magnetons follow the coordinates.
Positions (direct):
Ag: 0.060 0.060 0.000  -0.01
Ag: 0.440 0.440 0.000  -0.01
Cl: 0.750 0.250 0.500  0.07
Co: 0.250 0.750 0.500  1.65


[7]
This record from the Alexandria database describes a relaxed CaTiAl2Zn crystal. The functional is PBE-GGA.

Results
E_form (eV per atom): 0.788
Space-group type: No. 123
DOS at the Fermi energy (states/eV per cell): 5.16
Total moment (μB/f.u.): 2.52

Cell: 5.086 5.478 5.086 Å, 90.00 90.00 90.00°
Site moments in Bohr magnetons follow the coordinates.
Positions (direct):
Ca: 0.000 0.500 0.000  0.16
Al: 0.000 0.000 0.500  0.04
Al: 0.500 0.000 0.000  0.04
Ti: 0.000 0.000 0.000  1.48
Zn: 0.500 0.500 0.500  0.04


[8]
This record from the Alexandria database describes a relaxed Li2ScCl crystal. The functional is PBE-GGA.

Results
Uncorrected formation energy (meV/atom): -524.7
Space-group type: No. 44
DOS at the Fermi energy (states/eV per cell): 2.96
Total moment (μB/f.u.): 0.80

Cell: 8.392 8.392 8.392 Å, 158.19 157.01 31.90°
Site moments in Bohr magnetons follow the coordinates.
Positions (direct):
Li: 0.060 0.060 0.000  0.01
Li: 0.722 0.222 0.500  0.00
Cl: 0.289 0.789 0.500  0.00
Sc: 0.429 0.429 0.000  0.48


[9]
This record from the Alexandria database describes a relaxed FeSiSe2 crystal. The functional is PBE-GGA.

Results
Uncorrected formation energy (meV/atom): 83.0
Space-group type: No. 10
DOS at the Fermi energy (states/eV per cell): 1.07
Total moment (μB/f.u.): 0.00

Cell: 3.564 5.040 5.031 Å, 53.72 90.00 90.00°
Positions (direct):
Si: 0.500 0.250 0.250
Se: 0.000 0.924 0.924
Se: 0.000 0.576 0.576
Fe: 0.500 0.750 0.750


Repeat the second record exactly.
This record from the Alexandria database describes a relaxed Zn2CrAg crystal. The functional is PBE-GGA.

Results
E_form (eV per atom): 0.201
Space-group type: No. 12
DOS at the Fermi energy (states/eV per cell): 1.94
Total moment (μB/f.u.): 3.68

Cell: 4.696 4.696 4.931 Å, 78.87 78.87 36.68°
Site moments in Bohr magnetons follow the coordinates.
Positions (direct):
Zn: 0.503 0.503 0.490  -0.02
Zn: 0.997 0.997 0.010  -0.02
Cr: 0.250 0.250 0.250  3.40
Ag: 0.750 0.750 0.750  0.03


Q: total moment of number 9 (FeSiSe2)?
A: 0.00 μB/f.u.